Crystalline Y2ZrIr at its relaxed geometry, computed with PBE.

Cell lengths 4.9992, 4.9992, 4.9992 Å; angles 60.00, 60.00, 60.00 degrees
Positions (direct):
Ir1 0.5000 0.5000 0.5000
Zr1 0.7500 0.7500 0.7500
Y1 0.2500 0.2500 0.2500
Y2 0.0000 0.0000 0.0000

Volume, Å³ per cell: 88.3
Relative energy among the computed polymorphs, eV per atom: 0.318